The following is a DFT calculation (GGA-PBE) of SrTlP2 after structural relaxation.

Cell lengths 5.5144, 5.5144, 5.5144 Å; angles 130.31, 130.31, 72.92 degrees
With the nearest neighbours (Å) after each atom.
Atoms (fractional coordinates):
Sr1 0.0000 0.0000 0.0000  8 P 3.21, 4 Tl 3.28
Tl1 0.5000 0.5000 0.0000  8 P 3.21, 4 Sr 3.28
P1 0.2500 0.7500 0.5000  4 Tl 3.21, 4 Sr 3.21, 4 P 3.28
P2 0.7500 0.2500 0.5000  4 Tl 3.21, 4 Sr 3.21, 4 P 3.28

Computed properties:
energy of formation from the pure elements	-0.098	eV per atom
energy	-3.815	eV per atom
symmetry	No. 139
magnetization	0.00	μB/f.u.

=====

The following is a DFT calculation (GGA-PBE) of SrTlP4 after structural relaxation.

Cell lengths 5.6868, 5.6868, 5.6868 Å; angles 60.00, 60.00, 60.00 degrees
With the nearest neighbours (Å) after each atom.
Atoms (fractional coordinates):
Sr1 0.0000 0.0000 0.0000  12 P 3.39, 4 Tl 3.48
Tl1 0.7500 0.7500 0.7500  12 P 3.30, 4 Sr 3.48
P1 0.3942 0.3942 0.3942  3 P 2.41
P2 0.3942 0.3942 0.8173  3 P 2.41
P3 0.3942 0.8173 0.3942  3 P 2.41
P4 0.8173 0.3942 0.3942  3 P 2.41

Computed properties:
energy of formation from the pure elements	-0.021	eV per atom
energy	-4.302	eV per atom
symmetry	No. 216
magnetization	0.00	μB/f.u.

=====

The following is a DFT calculation (GGA-PBE) of SrTlP2 after structural relaxation.

Cell lengths 3.6183, 3.6183, 7.2645 Å; angles 90.00, 90.00, 90.00 degrees
With the nearest neighbours (Å) after each atom.
Atoms (fractional coordinates):
Sr1 0.0000 0.0000 0.0000  1 P 2.82
Tl1 0.5000 0.5000 0.3296  1 P 2.76
P1 0.0000 0.0000 0.6117  4 P 2.66, 1 Sr 2.82
P2 0.5000 0.5000 0.7095  4 P 2.66, 1 Tl 2.76

Computed properties:
energy of formation from the pure elements	-0.024	eV per atom
energy	-3.741	eV per atom
symmetry	No. 99
magnetization	0.00	μB/f.u.

=====

The following is a DFT calculation (GGA-PBE) of SrTl2P after structural relaxation.

Cell lengths 5.4150, 5.4150, 5.4150 Å; angles 60.00, 60.00, 60.00 degrees
With the nearest neighbours (Å) after each atom.
Atoms (fractional coordinates):
Sr1 0.0000 0.0000 0.0000  4 Tl 3.32, 4 P 3.32
Tl1 0.2500 0.2500 0.2500  4 Tl 3.32, 4 Sr 3.32
Tl2 0.5000 0.5000 0.5000  4 Tl 3.32, 4 P 3.32
P1 0.7500 0.7500 0.7500  4 Tl 3.32, 4 Sr 3.32

Computed properties:
energy of formation from the pure elements	-0.159	eV per atom
energy	-3.115	eV per atom
symmetry	No. 216
magnetization	0.00	μB/f.u.

=====

The following is a DFT calculation (GGA-PBE) of SrTl2P after structural relaxation.

Cell lengths 4.5377, 4.5377, 5.4451 Å; angles 90.00, 90.00, 90.00 degrees
With the nearest neighbours (Å) after each atom.
Atoms (fractional coordinates):
Sr1 0.0000 0.0000 0.0000  4 P 3.21, 8 Tl 3.54
Tl1 0.0000 0.5000 0.5000  4 Tl 3.21, 4 Sr 3.54, 4 P 3.54
Tl2 0.5000 0.0000 0.5000  4 Tl 3.21, 4 Sr 3.54, 4 P 3.54
P1 0.5000 0.5000 0.0000  4 Sr 3.21, 8 Tl 3.54

Computed properties:
energy of formation from the pure elements	-0.298	eV per atom
energy	-3.255	eV per atom
symmetry	No. 123
magnetization	0.00	μB/f.u.

=====

The following is a DFT calculation (GGA-PBE) of SrTl2P2 after structural relaxation.

Cell lengths 6.1278, 6.1278, 6.1278 Å; angles 129.53, 129.53, 74.16 degrees
With the nearest neighbours (Å) after each atom.
Atoms (fractional coordinates):
Sr1 0.0000 0.0000 0.0000  2 Tl 3.44, 8 P 3.58
Tl1 0.3522 0.3522 0.0000  4 P 2.80, 1 Tl 2.89
Tl2 0.6478 0.6478 0.0000  4 P 2.80, 1 Tl 2.89
P1 0.2500 0.7500 0.5000  4 Tl 2.80
P2 0.7500 0.2500 0.5000  4 Tl 2.80

Computed properties:
energy of formation from the pure elements	-0.097	eV per atom
energy	-3.544	eV per atom
symmetry	No. 139
magnetization	0.00	μB/f.u.

=====

The following is a DFT calculation (GGA-PBE) of SrTlP2 after structural relaxation.

Cell lengths 6.0157, 6.0157, 4.8515 Å; angles 102.05, 102.05, 39.54 degrees
With the nearest neighbours (Å) after each atom.
Atoms (fractional coordinates):
Sr1 0.0000 0.0000 0.0000  7 P 3.14-3.30, 1 Tl 3.39
Tl1 0.7293 0.7293 0.5309  3 P 3.00-3.04
P1 0.2987 0.2987 0.1283  1 P 2.15
P2 0.4590 0.4590 0.4630  1 P 2.15

Computed properties:
energy of formation from the pure elements	-0.388	eV per atom
energy	-4.105	eV per atom
symmetry	No. 8
magnetization	0.00	μB/f.u.

=====

The following is a DFT calculation (GGA-PBE) of SrTl2P2 after structural relaxation.

Cell lengths 7.6938, 7.6938, 7.6938 Å; angles 146.66, 146.66, 47.87 degrees
With the nearest neighbours (Å) after each atom.
Atoms (fractional coordinates):
Sr1 0.0000 0.0000 0.0000  8 P 3.30
Tl1 0.2500 0.7500 0.5000  4 Tl 3.12, 4 P 3.29
Tl2 0.7500 0.2500 0.5000  4 Tl 3.12, 4 P 3.29
P1 0.4237 0.4237 0.0000  1 P 2.15
P2 0.5763 0.5763 0.0000  1 P 2.15

Computed properties:
energy of formation from the pure elements	-0.314	eV per atom
energy	-3.761	eV per atom
symmetry	No. 139
magnetization	0.00	μB/f.u.

=====

The following is a DFT calculation (GGA-PBE) of SrTlP2 after structural relaxation.

Cell lengths 3.4755, 3.4755, 8.1934 Å; angles 90.00, 90.00, 90.00 degrees
With the nearest neighbours (Å) after each atom.
Atoms (fractional coordinates):
Sr1 0.0000 0.0000 0.0000  8 P 3.20, 4 Sr 3.48
Tl1 0.0000 0.0000 0.5000  8 P 3.20, 4 Tl 3.48
P1 0.5000 0.5000 0.2492  4 Sr 3.20, 4 Tl 3.20, 4 P 3.48
P2 0.5000 0.5000 0.7508  4 Sr 3.20, 4 Tl 3.20, 4 P 3.48

Computed properties:
energy of formation from the pure elements	0.011	eV per atom
energy	-3.706	eV per atom
symmetry	No. 123
magnetization	0.00	μB/f.u.

=====

The following is a DFT calculation (GGA-PBE) of SrTlP after structural relaxation.

Cell lengths 5.1748, 5.1748, 5.1748 Å; angles 60.00, 60.00, 60.00 degrees
With the nearest neighbours (Å) after each atom.
Atoms (fractional coordinates):
Sr1 0.0000 0.0000 0.0000  4 P 3.17
Tl1 0.5000 0.5000 0.5000  4 P 3.17
P1 0.2500 0.2500 0.2500  4 Tl 3.17, 4 Sr 3.17

Computed properties:
energy of formation from the pure elements	-0.445	eV per atom
energy	-3.597	eV per atom
symmetry	No. 216
magnetization	0.00	μB/f.u.

=====

The following is a DFT calculation (GGA-PBE) of SrTlP2 after structural relaxation.

Cell lengths 7.3038, 7.3038, 7.3038 Å; angles 33.11, 33.11, 33.11 degrees
With the nearest neighbours (Å) after each atom.
Atoms (fractional coordinates):
Sr1 0.0000 0.0000 0.0000  6 P 3.08
Tl1 0.5000 0.5000 0.5000  6 P 2.85
P1 0.2404 0.2404 0.2404  3 Tl 2.85, 3 Sr 3.08
P2 0.7596 0.7596 0.7596  3 Tl 2.85, 3 Sr 3.08

Computed properties:
energy of formation from the pure elements	-0.097	eV per atom
energy	-3.814	eV per atom
symmetry	No. 166
magnetization	0.00	μB/f.u.

=====

The following is a DFT calculation (GGA-PBE) of SrTl2P after structural relaxation.

Cell lengths 6.5717, 6.5717, 6.5717 Å; angles 145.44, 135.23, 57.76 degrees
With the nearest neighbours (Å) after each atom.
Atoms (fractional coordinates):
Sr1 0.0000 0.0000 0.0000  4 P 3.17, 4 Tl 3.45
Tl1 0.2931 0.7931 0.5000  2 P 3.08, 4 Tl 3.33
Tl2 0.7069 0.2069 0.5000  2 P 3.08, 4 Tl 3.33
P1 0.5000 0.5000 0.0000  4 Tl 3.08, 4 Sr 3.17

Computed properties:
energy of formation from the pure elements	-0.333	eV per atom
energy	-3.289	eV per atom
symmetry	No. 71
magnetization	0.00	μB/f.u.

=====

The following is a DFT calculation (GGA-PBE) of SrTlP2 after structural relaxation.

Cell lengths 6.5351, 6.5351, 6.5351 Å; angles 109.47, 109.47, 109.47 degrees
With the nearest neighbours (Å) after each atom.
Atoms (fractional coordinates):
Sr1 0.0000 0.0000 0.0000  4 P 3.08
Sr2 0.7500 0.2500 0.5000  4 P 3.08
Tl1 0.2500 0.7500 0.5000  4 P 2.61
Tl2 0.5000 0.5000 0.0000  4 P 2.61
P1 0.1721 0.1250 0.5471  2 Tl 2.61
P2 0.3750 0.8279 0.9529  2 Tl 2.61
P3 0.5779 0.6250 0.4529  2 Tl 2.61
P4 0.8750 0.4221 0.0471  2 Tl 2.61

Computed properties:
energy of formation from the pure elements	-0.173	eV per atom
energy	-3.890	eV per atom
symmetry	No. 122
magnetization	0.00	μB/f.u.

=====

The following is a DFT calculation (GGA-PBE) of SrTlP after structural relaxation.

Cell lengths 6.5613, 6.3345, 3.8270 Å; angles 76.01, 69.52, 34.47 degrees
With the nearest neighbours (Å) after each atom.
Atoms (fractional coordinates):
Sr1 0.0000 0.0000 0.0000  2 P 2.99, 1 Tl 3.30
Tl1 0.7183 0.7183 0.2817  2 P 2.88
P1 0.3508 0.3508 0.6492  2 Tl 2.88, 2 Sr 2.99

Computed properties:
energy of formation from the pure elements	-0.338	eV per atom
energy	-3.490	eV per atom
symmetry	No. 42
magnetization	0.00	μB/f.u.